Below is Fe2ReAu after structural relaxation, with properties calculated at the GGA-PBE level.

The total magnetization is 10.4 Bohr magnetons per cell. Its calculated formation energy is 0.282 eV/atom. The value obtained for the total energy is -7.88 eV per atom. Its density of states at the Fermi level is 6.7 states/eV per cell. Its relative energy among the computed polymorphs is 0.097 eV per atom. Its crystal system is orthorhombic.

Lattice parameters (Å, degrees): 3.1651 4.2633 8.5330 90.00 90.00 90.00
Space group Cmm2 (No. 35)
One atom of each set of equivalent atoms:
Fe1 0.0000 0.0000 0.0000 [2 per cell]
Fe2 0.0000 0.5000 0.2195 [2 per cell]
Re1 0.0000 0.5000 0.7657 [2 per cell]
Au1 0.0000 0.0000 0.4787 [2 per cell]